Material: CaNd3Cr4O16
Method: DFT, PBE with a Hubbard U
State: optimized geometry

Cell: 7.416 7.416 6.420 Å, 90.00 90.00 90.00°
Sites, in units of the cell vectors:
O1 0.679 0.000 0.923
O2 0.000 0.181 0.668
O3 0.819 0.000 0.332
O4 0.181 0.000 0.332
O5 0.182 0.500 0.418
O6 0.322 0.500 0.842
O7 0.000 0.679 0.077
O8 0.500 0.678 0.158
O9 0.321 0.000 0.923
O10 0.818 0.500 0.418
O11 0.500 0.322 0.158
O12 0.500 0.818 0.582
O13 0.678 0.500 0.842
O14 0.000 0.321 0.077
O15 0.500 0.182 0.582
O16 0.000 0.819 0.668
Cr1 0.000 0.000 0.500
Cr2 0.000 0.500 0.254
Cr3 0.500 0.000 0.746
Cr4 0.500 0.500 0.000
Nd1 0.000 0.000 0.000
Nd2 0.500 0.000 0.251
Nd3 0.000 0.500 0.749
Ca1 0.500 0.500 0.500

Summary:
- calculated volume (A^3/atom) = 14.7
- M_tot (μB/f.u.) = 3.0
- total energy (eV/atom) = -7.4420
- SG = P-4m2

=====

Material: CaNdCrO4
Method: DFT, PBE with a Hubbard U
State: optimized geometry

Cell: 6.566 6.566 5.616 Å, 89.60 89.60 49.02°
Sites, in units of the cell vectors:
O1 0.231 0.723 0.245
O2 0.670 0.670 0.432
O3 0.830 0.830 0.937
O4 0.277 0.769 0.755
O5 0.330 0.330 0.568
O6 0.170 0.170 0.063
O7 0.723 0.231 0.245
O8 0.769 0.277 0.755
Nd1 0.642 0.642 0.020
Nd2 0.358 0.358 0.980
Cr1 0.500 0.500 0.500
Cr2 0.000 0.000 0.000
Ca1 0.143 0.143 0.488
Ca2 0.857 0.857 0.512

Summary:
- calculated volume (A^3/atom) = 13.1
- M_tot (μB/f.u.) = 3.0
- total energy (eV/atom) = -7.6214
- SG = C2/m
- energy above the most stable polymorph in this dataset (meV per atom) = 2

=====

Material: CaNdCrO4
Method: DFT, PBE with a Hubbard U
State: optimized geometry

Cell: 6.546 6.546 5.631 Å, 90.00 90.00 131.00°
Sites, in units of the cell vectors:
Cr1 0.251 0.749 0.502
Cr2 0.749 0.251 0.002
O1 0.922 0.078 0.935
O2 0.026 0.479 0.248
O3 0.479 0.026 0.748
O4 0.974 0.521 0.748
O5 0.418 0.582 0.567
O6 0.582 0.418 0.067
O7 0.078 0.922 0.435
O8 0.521 0.974 0.248
Ca1 0.397 0.603 0.984
Ca2 0.603 0.397 0.484
Nd1 0.889 0.111 0.517
Nd2 0.111 0.889 0.017

Summary:
- calculated volume (A^3/atom) = 13.0
- M_tot (μB/f.u.) = 3.0
- total energy (eV/atom) = -7.6233
- SG = Cmc2_1
- energy above the most stable polymorph in this dataset (meV per atom) = 0

=====

Material: CaNdCr4O12
Method: DFT, PBE with a Hubbard U
State: optimized geometry

Cell: 5.345 5.345 7.455 Å, 90.00 90.00 92.70°
Sites, in units of the cell vectors:
Nd1 0.980 0.020 0.500
O1 0.779 0.221 0.220
O2 0.208 0.792 0.716
O3 0.017 0.538 0.000
O4 0.709 0.725 0.749
O5 0.967 0.469 0.500
O6 0.779 0.221 0.780
O7 0.709 0.725 0.251
O8 0.208 0.792 0.284
O9 0.462 0.983 0.000
O10 0.275 0.291 0.251
O11 0.275 0.291 0.749
O12 0.531 0.033 0.500
Cr1 0.024 0.492 0.247
Cr2 0.508 0.976 0.753
Cr3 0.024 0.492 0.753
Cr4 0.508 0.976 0.247
Ca1 0.543 0.457 0.000

Summary:
- calculated volume (A^3/atom) = 11.8
- M_tot (μB/f.u.) = 5.0
- total energy (eV/atom) = -7.0292
- SG = Amm2

=====

Material: CaNdCrO4
Method: DFT, PBE with a Hubbard U
State: optimized geometry

Cell: 6.629 6.629 6.629 Å, 146.04 146.04 48.79°
Sites, in units of the cell vectors:
Nd1 0.360 0.360 0.000
Cr1 0.005 0.005 0.000
O1 0.495 0.995 0.500
O2 0.995 0.495 0.500
O3 0.171 0.171 0.000
O4 0.830 0.830 0.000
Ca1 0.643 0.643 0.000

Summary:
- calculated volume (A^3/atom) = 12.9
- M_tot (μB/f.u.) = 3.0
- total energy (eV/atom) = -7.6073
- SG = I4mm
- energy above the most stable polymorph in this dataset (meV per atom) = 16